# 1
This record from Alexandria describes a relaxed Mn2FeRe crystal. The functional is GGA-PBE.

abc: 4.812 4.812 4.812
angles: 143.77 130.47 62.89
Sites, in units of the cell vectors:
Mn  0.000  0.000  0.000
Mn  0.750  0.250  0.500
Fe  0.506  0.506  0.000
Re  0.254  0.754  0.500

Output
* total DFT energy (no corrections): -9.737 eV per atom
* energy of formation from the pure elements: 0.0755 eV per atom
* total magnetization: 5.32 Bohr magnetons per cell
* volume: 49.5 Å³/f.u.

# 2
This record from Alexandria describes a relaxed LaAlIO2 crystal. The functional is GGA-PBE.

abc: 4.493 4.493 6.881
angles: 90.00 90.00 90.00
Sites, in units of the cell vectors:
La  0.000  0.000  0.000
Al  0.500  0.500  0.500
I  0.000  0.000  0.500
O  0.000  0.500  0.000
O  0.500  0.000  0.000

Output
* total DFT energy (no corrections): -5.248 eV per atom
* total magnetization: 0.33 Bohr magnetons per cell
* volume: 138.9 Å³/f.u.
* formation energy from raw total energies: -118 kJ/mol of atoms

# 3
This record from Alexandria describes a relaxed MgGa3Re crystal. The functional is GGA-PBE.

abc: 4.894 4.894 4.894
angles: 90.00 90.00 90.00
Sites, in units of the cell vectors:
Mg  0.000  0.000  0.000
Ga  0.000  0.000  0.500
Ga  0.000  0.500  0.000
Ga  0.500  0.000  0.000
Re  0.500  0.500  0.500

Output
* total DFT energy (no corrections): -3.164 eV per atom
* energy of formation from the pure elements: 1.4604 eV per atom
* total magnetization: 3.99 Bohr magnetons per cell
* volume: 117.3 Å³/f.u.

The lowest total magnetization belongs to which entry?
LaAlIO2

volume of number 2 (LaAlIO2)?
138.9 Å³/f.u.

What is the total magnetization in the third record?
3.99 Bohr magnetons per cell

The lowest volume belongs to which entry?
Mn2FeRe